1.
A plane-wave DFT calculation with GGA-PBE was carried out for a geometry-optimized La9Nd2Sm structure.

```
La9Nd2Sm
1.0
5.239 0.000 0.000
0.000 5.239 0.000
0.000 0.000 15.719
La Nd Sm
9 2 1
direct
0.000 0.000 0.000 La
0.000 0.000 0.333 La
0.000 0.000 0.667 La
0.000 0.500 0.166 La
0.000 0.500 0.500 La
0.000 0.500 0.834 La
0.500 0.000 0.166 La
0.500 0.000 0.500 La
0.500 0.000 0.834 La
0.500 0.500 0.333 Nd
0.500 0.500 0.667 Nd
0.500 0.500 0.000 Sm
```

Calculated values
Uncorrected energy = -4.88 eV/atom
Calculated formation energy = 0.004 eV per atom
Calculated density = 6.5 g/cm3

***

2.
A plane-wave DFT calculation with GGA-PBE was carried out for a geometry-optimized La4Nd8Sm structure.

```
La4Nd8Sm
1.0
5.964 3.443 3.940
-5.964 3.443 3.940
0.000 -6.886 3.940
La Nd Sm
4 8 1
direct
0.000 0.000 0.000 La
0.000 0.500 0.500 La
0.500 0.000 0.500 La
0.500 0.500 0.000 La
0.163 0.163 0.669 Nd
0.163 0.669 0.163 Nd
0.240 0.240 0.240 Nd
0.331 0.837 0.837 Nd
0.669 0.163 0.163 Nd
0.760 0.760 0.760 Nd
0.837 0.331 0.837 Nd
0.837 0.837 0.331 Nd
0.500 0.500 0.500 Sm
```

Calculated values
Uncorrected energy = -4.46 eV/atom
Calculated formation energy = 0.358 eV per atom
Calculated density = 6.4 g/cm3

***

3.
A plane-wave DFT calculation with GGA-PBE was carried out for a geometry-optimized La3Nd2Sm structure.

```
La3Nd2Sm
1.0
7.394 0.000 0.000
-3.697 6.404 0.000
0.000 0.000 9.077
La Nd Sm
6 4 2
direct
0.166 0.333 0.167 La
0.166 0.834 0.167 La
0.333 0.166 0.833 La
0.667 0.834 0.167 La
0.834 0.166 0.833 La
0.834 0.667 0.833 La
0.000 0.000 0.500 Nd
0.000 0.500 0.500 Nd
0.500 0.000 0.500 Nd
0.500 0.500 0.500 Nd
0.333 0.667 0.831 Sm
0.667 0.333 0.169 Sm
```

Calculated values
Uncorrected energy = -4.83 eV/atom
Calculated formation energy = 0.012 eV per atom
Calculated density = 6.6 g/cm3
Polymorph energy (0 for the lowest one) = 0.00 kcal/mol of atoms

***

4.
A plane-wave DFT calculation with GGA-PBE was carried out for a geometry-optimized La2Nd8Sm structure.

```
La2Nd8Sm
1.0
8.513 -3.444 0.000
8.513 3.444 0.000
-1.269 0.000 6.770
La Nd Sm
2 8 1
direct
0.199 0.199 0.309 La
0.801 0.801 0.691 La
0.175 0.649 0.093 Nd
0.244 0.244 0.815 Nd
0.351 0.825 0.907 Nd
0.411 0.411 0.588 Nd
0.589 0.589 0.412 Nd
0.649 0.175 0.093 Nd
0.756 0.756 0.185 Nd
0.825 0.351 0.907 Nd
0.000 0.000 0.500 Sm
```

Calculated values
Uncorrected energy = -4.65 eV/atom
Calculated formation energy = 0.140 eV per atom
Calculated density = 6.6 g/cm3
Polymorph energy (0 for the lowest one) = 2.90 kcal/mol of atoms

***

5.
A plane-wave DFT calculation with GGA-PBE was carried out for a geometry-optimized LaNd8Sm3 structure.

```
LaNd8Sm3
1.0
6.361 0.000 0.000
1.044 6.297 0.000
0.002 3.215 10.546
La Nd Sm
1 8 3
direct
0.000 0.000 0.000 La
0.000 0.001 0.666 Nd
0.000 0.999 0.334 Nd
0.250 0.500 0.916 Nd
0.252 0.500 0.583 Nd
0.499 0.999 0.168 Nd
0.501 0.001 0.832 Nd
0.748 0.500 0.417 Nd
0.750 0.500 0.084 Nd
0.250 0.497 0.251 Sm
0.500 0.000 0.500 Sm
0.750 0.503 0.749 Sm
```

Calculated values
Uncorrected energy = -4.76 eV/atom
Calculated formation energy = 0.013 eV per atom
Calculated density = 6.9 g/cm3

***

6.
A plane-wave DFT calculation with GGA-PBE was carried out for a geometry-optimized LaNd4Sm5 structure.

```
LaNd4Sm5
1.0
3.677 0.000 0.000
0.000 3.677 0.000
0.000 0.000 25.794
La Nd Sm
1 4 5
direct
0.000 0.000 0.000 La
0.000 0.000 0.201 Nd
0.000 0.000 0.400 Nd
0.000 0.000 0.600 Nd
0.000 0.000 0.799 Nd
0.500 0.500 0.101 Sm
0.500 0.500 0.301 Sm
0.500 0.500 0.500 Sm
0.500 0.500 0.699 Sm
0.500 0.500 0.899 Sm
```

Calculated values
Uncorrected energy = -4.74 eV/atom
Calculated formation energy = 0.017 eV per atom
Calculated density = 7.0 g/cm3
Polymorph energy (0 for the lowest one) = 0.00 kcal/mol of atoms

***

7.
A plane-wave DFT calculation with GGA-PBE was carried out for a geometry-optimized LaNdSm2 structure.

```
LaNdSm2
1.0
3.692 0.000 0.000
-1.846 3.198 0.000
0.000 0.000 11.816
La Nd Sm
1 1 2
direct
0.000 0.000 0.000 La
0.000 0.000 0.500 Nd
0.333 0.667 0.251 Sm
0.667 0.333 0.749 Sm
```

Calculated values
Uncorrected energy = -4.79 eV/atom
Calculated formation energy = -0.005 eV per atom
Calculated density = 6.9 g/cm3
Polymorph energy (0 for the lowest one) = 0.00 kcal/mol of atoms

***

8.
A plane-wave DFT calculation with GGA-PBE was carried out for a geometry-optimized LaNd3Sm4 structure.

```
LaNd3Sm4
1.0
11.857 0.000 0.000
0.000 7.403 0.000
0.000 0.000 6.406
La Nd Sm
2 6 8
direct
0.000 0.125 0.000 La
0.500 0.875 0.500 La
0.000 0.873 0.499 Nd
0.250 0.127 0.667 Nd
0.250 0.873 0.167 Nd
0.500 0.127 0.999 Nd
0.750 0.127 0.667 Nd
0.750 0.873 0.167 Nd
0.000 0.377 0.499 Sm
0.000 0.624 0.999 Sm
0.249 0.624 0.667 Sm
0.251 0.376 0.167 Sm
0.500 0.376 0.499 Sm
0.500 0.623 0.999 Sm
0.749 0.376 0.167 Sm
0.751 0.624 0.667 Sm
```

Calculated values
Uncorrected energy = -4.73 eV/atom
Calculated formation energy = 0.034 eV per atom
Calculated density = 6.9 g/cm3
Polymorph energy (0 for the lowest one) = 0.39 kcal/mol of atoms